(1)
Compound: RbCu3Ir
Source: Alexandria
Functional: PBEsol
Structure: relaxed

DFT formation energy, eV per atom: 0.837
Calculated density, g/cm3: 7.26
Electronic total energy, eV for the cell shown: -19.668

```
RbCu3Ir
1.0
-4.0878 -1.7326 -1.6871
-1.2603 -1.3018 4.3904
-2.0640 4.2263 0.6607
Ir Cu Rb
1 3 1
Cartesian
0.0000 0.0000 0.0000
-0.6301 -0.6509 2.1952
-1.0320 2.1132 0.3304
-2.0439 -0.8663 -0.8436
-3.7060 0.5960 1.6820
```

(2)
Compound: CuReIr2
Source: Alexandria
Functional: PBEsol
Structure: relaxed

DFT formation energy, eV per atom: 0.418
Calculated density, g/cm3: 19.06
Electronic total energy, eV for the cell shown: -35.640

```
CuReIr2
1.0
4.2752 0.0000 0.0000
2.1376 3.7025 0.0000
2.1376 1.2342 3.4907
Cu Ir Re
1 2 1
Cartesian
4.2752 2.4683 1.7454
0.0000 0.0000 0.0000
6.4128 3.7025 2.6180
2.1376 1.2342 0.8727
```

(3)
Compound: Cu2ReIr
Source: Alexandria
Functional: PBEsol
Structure: relaxed

DFT formation energy, eV per atom: 0.184
Calculated density, g/cm3: 16.04
Electronic total energy, eV for the cell shown: -31.087

```
Cu2ReIr
1.0
-0.2932 -2.3703 -1.2018
3.6668 0.8541 -2.5791
2.0471 -0.7710 3.9952
Cu Ir Re
2 1 1
Cartesian
1.8588 -0.7648 1.0548
3.5618 -1.5224 -0.8406
1.8334 0.4270 -1.2896
-0.1466 -1.1851 -0.6009
```

(4)
Compound: Cu2ReIr
Source: Alexandria
Functional: PBEsol
Structure: relaxed

DFT formation energy, eV per atom: 0.348
Calculated density, g/cm3: 16.12
Electronic total energy, eV for the cell shown: -30.433

```
Cu2ReIr
1.0
-2.2435 -0.9254 -1.0744
1.6265 0.0647 -3.4520
1.6565 -4.8170 0.6902
Cu Ir Re
2 1 1
Cartesian
1.2397 -3.6051 0.5166
0.4167 -1.2119 0.1736
-0.3085 -0.4304 -2.2632
0.5197 -2.8389 -1.9181
```

(5)
Compound: Cu2ReIr
Source: Alexandria
Functional: PBEsol
Structure: relaxed

DFT formation energy, eV per atom: 0.430
Calculated density, g/cm3: 16.49
Electronic total energy, eV for the cell shown: -30.103

```
Cu2ReIr
1.0
-1.3387 0.9116 2.3474
-2.4280 -3.4575 -0.0419
2.8324 -2.0181 2.3991
Cu Ir Re
2 1 1
Cartesian
1.4162 -1.0091 1.1996
-1.2140 -1.7288 -0.0210
-0.4671 -2.2820 2.3523
-0.6694 0.4558 1.1737
```

(6)
Compound: CuReIr2
Source: Alexandria
Functional: PBEsol
Structure: relaxed

DFT formation energy, eV per atom: -0.082
Calculated density, g/cm3: 19.36
Electronic total energy, eV for the cell shown: -37.642

```
CuReIr2
1.0
2.7492 0.0000 0.0000
0.0000 2.7492 0.0000
0.0000 0.0000 7.1965
Re Ir Cu
1 2 1
Cartesian
1.3746 1.3746 0.0000
0.0000 0.0000 5.3803
0.0000 0.0000 1.8162
1.3746 1.3746 3.5983
```